(1)
A relaxed structure of TmSbF, computed with PBE-GGA.

Structure (CIF):
```
data_TmSbF
_space_group_name_H-M_alt 'C 1 2/m 1'
_space_group_IT_number 12
_space_group_name_Hall '-C 2y'
_cell_length_a 11.0696
_cell_length_b 4.0110
_cell_length_c 6.5094
_cell_angle_alpha 90.00
_cell_angle_beta 113.50
_cell_angle_gamma 90.00
loop_
_atom_site_label
_atom_site_type_symbol
_atom_site_fract_x
_atom_site_fract_y
_atom_site_fract_z
Tm1 Tm 0.1832 0.0000 0.2342
Sb1 Sb 0.0446 0.5000 0.8147
F1 F 0.2221 0.0000 0.6005
```

Values from the calculation:
- Relative energy among the computed polymorphs: 0.0 kJ/mol of atoms
- Formation energy without anion corrections: -2.140 eV/atom
- Density of states at the Fermi level: 2.608 states/eV per cell
- Final energy: -5.628 eV/atom

---

(2)
A relaxed structure of Tm3ZnOs, computed with PBE-GGA.

Structure (CIF):
```
data_Tm3ZnOs
_space_group_name_H-M_alt 'F m m m'
_space_group_IT_number 69
_space_group_name_Hall '-F 2 2'
_cell_length_a 6.2793
_cell_length_b 9.4157
_cell_length_c 15.6661
_cell_angle_alpha 90.00
_cell_angle_beta 90.00
_cell_angle_gamma 90.00
loop_
_atom_site_label
_atom_site_type_symbol
_atom_site_fract_x
_atom_site_fract_y
_atom_site_fract_z
Tm1 Tm 0.0000 0.0000 0.1971
Tm2 Tm 0.0000 0.1843 0.3933
Zn1 Zn 0.1954 0.0000 0.0000
Os1 Os 0.2500 0.2500 0.2500
```

Values from the calculation:
- DFT formation energy: -0.338 eV/atom
- Density of states at the Fermi level: 23.084 states/eV per cell
- Final energy: -5.522 eV/atom

---

(3)
A relaxed structure of TiCoGe2, computed with PBE-GGA.

Structure (CIF):
```
data_TiCoGe2
_space_group_name_H-M_alt 'R -3 m'
_space_group_IT_number 166
_space_group_name_Hall '-R 3 2"'
_cell_length_a 3.9026
_cell_length_b 3.9026
_cell_length_c 13.3600
_cell_angle_alpha 90.00
_cell_angle_beta 90.00
_cell_angle_gamma 120.00
loop_
_atom_site_label
_atom_site_type_symbol
_atom_site_fract_x
_atom_site_fract_y
_atom_site_fract_z
Ti1 Ti 0.0000 0.0000 0.0000
Co1 Co 0.0000 0.0000 0.5000
Ge1 Ge 0.0000 0.0000 0.2298
```

Values from the calculation:
- DFT formation energy: -0.301 eV/atom
- Density of states at the Fermi level: 12.384 states/eV per cell
- Final energy: -6.360 eV/atom

---

(4)
A relaxed structure of KNiP2Cl, computed with PBE-GGA.

Structure (CIF):
```
data_KNiP2Cl
_space_group_name_H-M_alt 'P 4/m m m'
_space_group_IT_number 123
_space_group_name_Hall '-P 4 2'
_cell_length_a 5.3999
_cell_length_b 5.3999
_cell_length_c 5.3289
_cell_angle_alpha 90.00
_cell_angle_beta 90.00
_cell_angle_gamma 90.00
loop_
_atom_site_label
_atom_site_type_symbol
_atom_site_fract_x
_atom_site_fract_y
_atom_site_fract_z
K1 K 0.0000 0.0000 0.0000
Ni1 Ni 0.5000 0.5000 0.5000
P1 P 0.0000 0.5000 0.0000
Cl1 Cl 0.0000 0.0000 0.5000
```

Values from the calculation:
- Relative energy among the computed polymorphs: 204.6 kJ/mol of atoms
- Formation energy without anion corrections: 1.812 eV/atom
- Density of states at the Fermi level: 15.624 states/eV per cell
- Final energy: -2.098 eV/atom

---

(5)
A relaxed structure of LiTmIrPt, computed with PBE-GGA.

Structure (CIF):
```
data_LiTmIrPt
_space_group_name_H-M_alt 'F -4 3 m'
_space_group_IT_number 216
_space_group_name_Hall 'F -4 2 3'
_cell_length_a 6.4569
_cell_length_b 6.4569
_cell_length_c 6.4569
_cell_angle_alpha 90.00
_cell_angle_beta 90.00
_cell_angle_gamma 90.00
loop_
_atom_site_label
_atom_site_type_symbol
_atom_site_fract_x
_atom_site_fract_y
_atom_site_fract_z
Li1 Li 0.0000 0.0000 0.0000
Tm1 Tm 0.0000 0.0000 0.5000
Ir1 Ir 0.2500 0.2500 0.2500
Pt1 Pt 0.2500 0.2500 0.7500
```

Values from the calculation:
- DFT formation energy: -0.663 eV/atom
- Density of states at the Fermi level: 7.023 states/eV per cell
- Final energy: -5.985 eV/atom

---

(6)
A relaxed structure of NpPt7, computed with PBE-GGA.

Structure (CIF):
```
data_NpPt7
_space_group_name_H-M_alt 'I 4/m m m'
_space_group_IT_number 139
_space_group_name_Hall '-I 4 2'
_cell_length_a 4.0553
_cell_length_b 4.0553
_cell_length_c 16.3173
_cell_angle_alpha 90.00
_cell_angle_beta 90.00
_cell_angle_gamma 90.00
loop_
_atom_site_label
_atom_site_type_symbol
_atom_site_fract_x
_atom_site_fract_y
_atom_site_fract_z
Np1 Np 0.0000 0.0000 0.0000
Pt1 Pt 0.0000 0.0000 0.2533
Pt2 Pt 0.0000 0.0000 0.5000
Pt3 Pt 0.0000 0.5000 0.1265
```

Values from the calculation:
- DFT formation energy: -0.303 eV/atom
- Density of states at the Fermi level: 36.037 states/eV per cell
- Final energy: -7.206 eV/atom

---

(7)
A relaxed structure of DyHo3Tc, computed with PBE-GGA.

Structure (CIF):
```
data_DyHo3Tc
_space_group_name_H-M_alt 'P m -3 m'
_space_group_IT_number 221
_space_group_name_Hall '-P 4 2 3'
_cell_length_a 5.3538
_cell_length_b 5.3538
_cell_length_c 5.3538
_cell_angle_alpha 90.00
_cell_angle_beta 90.00
_cell_angle_gamma 90.00
loop_
_atom_site_label
_atom_site_type_symbol
_atom_site_fract_x
_atom_site_fract_y
_atom_site_fract_z
Dy1 Dy 0.0000 0.0000 0.0000
Ho1 Ho 0.0000 0.5000 0.5000
Tc1 Tc 0.5000 0.5000 0.5000
```

Values from the calculation:
- DFT formation energy: 0.146 eV/atom
- Relative energy among the computed polymorphs: 21.2 kJ/mol of atoms
- Density of states at the Fermi level: 8.007 states/eV per cell
- Final energy: -5.594 eV/atom

---

(8)
A relaxed structure of TbMgCdCo, computed with PBE-GGA.

Structure (CIF):
```
data_TbMgCdCo
_space_group_name_H-M_alt 'F -4 3 m'
_space_group_IT_number 216
_space_group_name_Hall 'F -4 2 3'
_cell_length_a 6.8788
_cell_length_b 6.8788
_cell_length_c 6.8788
_cell_angle_alpha 90.00
_cell_angle_beta 90.00
_cell_angle_gamma 90.00
loop_
_atom_site_label
_atom_site_type_symbol
_atom_site_fract_x
_atom_site_fract_y
_atom_site_fract_z
Tb1 Tb 0.0000 0.0000 0.0000
Mg1 Mg 0.0000 0.0000 0.5000
Cd1 Cd 0.2500 0.2500 0.2500
Co1 Co 0.2500 0.2500 0.7500
```

Values from the calculation:
- DFT formation energy: -0.010 eV/atom
- Density of states at the Fermi level: 16.155 states/eV per cell
- Final energy: -3.572 eV/atom

---

(9)
A relaxed structure of Sb2Au2Cl, computed with PBE-GGA.

Structure (CIF):
```
data_Sb2Au2Cl
_space_group_name_H-M_alt 'P 4/m b m'
_space_group_IT_number 127
_space_group_name_Hall '-P 4 2ab'
_cell_length_a 8.4048
_cell_length_b 8.4048
_cell_length_c 3.2824
_cell_angle_alpha 90.00
_cell_angle_beta 90.00
_cell_angle_gamma 90.00
loop_
_atom_site_label
_atom_site_type_symbol
_atom_site_fract_x
_atom_site_fract_y
_atom_site_fract_z
Sb1 Sb 0.1484 0.3516 0.0000
Au1 Au 0.1496 0.6496 0.5000
Cl1 Cl 0.0000 0.0000 0.5000
```

Values from the calculation:
- Relative energy among the computed polymorphs: 8.8 kJ/mol of atoms
- Formation energy without anion corrections: 0.047 eV/atom
- Density of states at the Fermi level: 6.621 states/eV per cell
- Final energy: -3.282 eV/atom

---

(10)
A relaxed structure of Ca2NiPt, computed with PBE-GGA.

Structure (CIF):
```
data_Ca2NiPt
_space_group_name_H-M_alt 'R 3 m'
_space_group_IT_number 160
_space_group_name_Hall 'R 3 -2"'
_cell_length_a 4.1945
_cell_length_b 4.1945
_cell_length_c 21.4241
_cell_angle_alpha 90.00
_cell_angle_beta 90.00
_cell_angle_gamma 120.00
loop_
_atom_site_label
_atom_site_type_symbol
_atom_site_fract_x
_atom_site_fract_y
_atom_site_fract_z
Ca1 Ca 0.0000 0.0000 0.0000
Ca2 Ca 0.0000 0.0000 0.1716
Ni1 Ni 0.0000 0.0000 0.4188
Pt1 Pt 0.0000 0.0000 0.7527
```

Values from the calculation:
- DFT formation energy: -0.504 eV/atom
- Density of states at the Fermi level: 9.322 states/eV per cell
- Final energy: -4.460 eV/atom

---

(11)
A relaxed structure of ErTm12Ni6, computed with PBE-GGA.

Structure (CIF):
```
data_ErTm12Ni6
_space_group_name_H-M_alt 'I m -3'
_space_group_IT_number 204
_space_group_name_Hall '-I 2 2 3'
_cell_length_a 9.6959
_cell_length_b 9.6959
_cell_length_c 9.6959
_cell_angle_alpha 90.00
_cell_angle_beta 90.00
_cell_angle_gamma 90.00
loop_
_atom_site_label
_atom_site_type_symbol
_atom_site_fract_x
_atom_site_fract_y
_atom_site_fract_z
Er1 Er 0.0000 0.0000 0.0000
Tm1 Tm 0.0000 0.1841 0.3101
Ni1 Ni 0.0000 0.3756 0.5000
```

Values from the calculation:
- DFT formation energy: -0.264 eV/atom
- Density of states at the Fermi level: 41.818 states/eV per cell
- Final energy: -5.154 eV/atom

---

(12)
A relaxed structure of Be2BiAu2, computed with PBE-GGA.

Structure (CIF):
```
data_Be2BiAu2
_space_group_name_H-M_alt 'P 4/m b m'
_space_group_IT_number 127
_space_group_name_Hall '-P 4 2ab'
_cell_length_a 7.3487
_cell_length_b 7.3487
_cell_length_c 3.1548
_cell_angle_alpha 90.00
_cell_angle_beta 90.00
_cell_angle_gamma 90.00
loop_
_atom_site_label
_atom_site_type_symbol
_atom_site_fract_x
_atom_site_fract_y
_atom_site_fract_z
Be1 Be 0.1172 0.3828 0.0000
Bi1 Bi 0.0000 0.0000 0.0000
Au1 Au 0.1467 0.6467 0.5000
```

Values from the calculation:
- DFT formation energy: 0.176 eV/atom
- Relative energy among the computed polymorphs: 23.8 kJ/mol of atoms
- Density of states at the Fermi level: 4.201 states/eV per cell
- Final energy: -3.402 eV/atom

---

(13)
A relaxed structure of LiPrDyZn, computed with PBE-GGA.

Structure (CIF):
```
data_LiPrDyZn
_space_group_name_H-M_alt 'F -4 3 m'
_space_group_IT_number 216
_space_group_name_Hall 'F -4 2 3'
_cell_length_a 7.3675
_cell_length_b 7.3675
_cell_length_c 7.3675
_cell_angle_alpha 90.00
_cell_angle_beta 90.00
_cell_angle_gamma 90.00
loop_
_atom_site_label
_atom_site_type_symbol
_atom_site_fract_x
_atom_site_fract_y
_atom_site_fract_z
Li1 Li 0.0000 0.0000 0.0000
Pr1 Pr 0.2500 0.2500 0.7500
Dy1 Dy 0.2500 0.2500 0.2500
Zn1 Zn 0.0000 0.0000 0.5000
```

Values from the calculation:
- DFT formation energy: -0.106 eV/atom
- Relative energy among the computed polymorphs: 1.1 kJ/mol of atoms
- Density of states at the Fermi level: 23.993 states/eV per cell
- Final energy: -3.249 eV/atom

---

(14)
A relaxed structure of BaNd4Ga4, computed with PBE-GGA.

Structure (CIF):
```
data_BaNd4Ga4
_space_group_name_H-M_alt 'P 42/n'
_space_group_IT_number 86
_cell_length_a 9.6850
_cell_length_b 9.6850
_cell_length_c 5.9883
_cell_angle_alpha 90.00
_cell_angle_beta 90.00
_cell_angle_gamma 90.00
loop_
_space_group_symop_operation_xyz
'x,y,z'
'-x,-y,-z'
'-y,x+1/2,z+1/2'
'y,-x+1/2,-z+1/2'
'-x+1/2,-y+1/2,z'
'x+1/2,y+1/2,-z'
'y+1/2,-x,z+1/2'
'-y+1/2,x,-z+1/2'
loop_
_atom_site_label
_atom_site_type_symbol
_atom_site_fract_x
_atom_site_fract_y
_atom_site_fract_z
Ba1 Ba 0.2500 0.2500 0.2500
Nd1 Nd 0.1061 0.8521 0.6232
Ga1 Ga 0.0189 0.8975 0.1300
```

Values from the calculation:
- DFT formation energy: -0.294 eV/atom
- Density of states at the Fermi level: 18.405 states/eV per cell
- Final energy: -3.972 eV/atom

---

(15)
A relaxed structure of AcNdSm4Se8, computed with PBE-GGA.

Structure (CIF):
```
data_AcNdSm4Se8
_space_group_name_H-M_alt 'R 3 m'
_space_group_IT_number 160
_space_group_name_Hall 'R 3 -2"'
_cell_length_a 8.6985
_cell_length_b 8.6985
_cell_length_c 21.3969
_cell_angle_alpha 90.00
_cell_angle_beta 90.00
_cell_angle_gamma 120.00
loop_
_atom_site_label
_atom_site_type_symbol
_atom_site_fract_x
_atom_site_fract_y
_atom_site_fract_z
Ac1 Ac 0.0000 0.0000 0.0000
Nd1 Nd 0.0000 0.0000 0.6229
Sm1 Sm 0.0000 0.0000 0.2511
Sm2 Sm 0.0062 0.5031 0.1263
Se1 Se 0.0000 0.0000 0.3824
Se2 Se 0.0000 0.0000 0.8619
Se3 Se 0.0336 0.5168 0.3809
Se4 Se 0.1739 0.3479 0.2054
```

Values from the calculation:
- Formation energy without anion corrections: -1.737 eV/atom
- Density of states at the Fermi level: 28.556 states/eV per cell
- Final energy: -5.710 eV/atom

---

(16)
A relaxed structure of LiMgBiPb, computed with PBE-GGA.

Structure (CIF):
```
data_LiMgBiPb
_space_group_name_H-M_alt 'F -4 3 m'
_space_group_IT_number 216
_space_group_name_Hall 'F -4 2 3'
_cell_length_a 7.4064
_cell_length_b 7.4064
_cell_length_c 7.4064
_cell_angle_alpha 90.00
_cell_angle_beta 90.00
_cell_angle_gamma 90.00
loop_
_atom_site_label
_atom_site_type_symbol
_atom_site_fract_x
_atom_site_fract_y
_atom_site_fract_z
Li1 Li 0.0000 0.0000 0.0000
Mg1 Mg 0.0000 0.0000 0.5000
Bi1 Bi 0.2500 0.2500 0.2500
Pb1 Pb 0.2500 0.2500 0.7500
```

Values from the calculation:
- DFT formation energy: -0.207 eV/atom
- Density of states at the Fermi level: 5.183 states/eV per cell
- Final energy: -2.981 eV/atom

---

(17)
A relaxed structure of Zr2CrPtC, computed with PBE-GGA.

Structure (CIF):
```
data_Zr2CrPtC
_space_group_name_H-M_alt 'P 4/m m m'
_space_group_IT_number 123
_space_group_name_Hall '-P 4 2'
_cell_length_a 4.5696
_cell_length_b 4.5696
_cell_length_c 3.7866
_cell_angle_alpha 90.00
_cell_angle_beta 90.00
_cell_angle_gamma 90.00
loop_
_atom_site_label
_atom_site_type_symbol
_atom_site_fract_x
_atom_site_fract_y
_atom_site_fract_z
Zr1 Zr 0.0000 0.5000 0.0000
Cr1 Cr 0.0000 0.0000 0.5000
Pt1 Pt 0.5000 0.5000 0.5000
C1 C 0.0000 0.0000 0.0000
```

Values from the calculation:
- DFT formation energy: -0.558 eV/atom
- Density of states at the Fermi level: 3.946 states/eV per cell
- Final energy: -8.955 eV/atom

---

(18)
A relaxed structure of Na3Zn7Ge4, computed with PBE-GGA.

Structure (CIF):
```
data_Na3Zn7Ge4
_space_group_name_H-M_alt 'C 1 2/m 1'
_space_group_IT_number 12
_space_group_name_Hall '-C 2y'
_cell_length_a 15.6920
_cell_length_b 4.2702
_cell_length_c 9.7316
_cell_angle_alpha 90.00
_cell_angle_beta 127.19
_cell_angle_gamma 90.00
loop_
_atom_site_label
_atom_site_type_symbol
_atom_site_fract_x
_atom_site_fract_y
_atom_site_fract_z
Na1 Na 0.0000 0.0000 0.0000
Na2 Na 0.2004 0.5000 0.6999
Zn1 Zn 0.0000 0.0000 0.5000
Zn2 Zn 0.0049 0.5000 0.3147
Zn3 Zn 0.1495 0.0000 0.4219
Zn4 Zn 0.1591 0.5000 0.0206
Ge1 Ge 0.1328 0.0000 0.8415
Ge2 Ge 0.1581 0.5000 0.2818
```

Values from the calculation:
- DFT formation energy: -0.050 eV/atom
- Density of states at the Fermi level: 6.040 states/eV per cell
- Final energy: -2.289 eV/atom

---

(19)
A relaxed structure of Hf2MnTl3S6, computed with PBE-GGA.

Structure (CIF):
```
data_Hf2MnTl3S6
_space_group_name_H-M_alt 'C 1 2/m 1'
_space_group_IT_number 12
_space_group_name_Hall '-C 2y'
_cell_length_a 6.3643
_cell_length_b 11.0056
_cell_length_c 8.0229
_cell_angle_alpha 90.00
_cell_angle_beta 90.17
_cell_angle_gamma 90.00
loop_
_atom_site_label
_atom_site_type_symbol
_atom_site_fract_x
_atom_site_fract_y
_atom_site_fract_z
Hf1 Hf 0.0000 0.1667 0.0000
Mn1 Mn 0.0000 0.5000 0.0000
Tl1 Tl 0.0000 0.1668 0.5000
Tl2 Tl 0.0000 0.5000 0.5000
S1 S 0.1628 0.0000 0.8199
S2 S 0.1678 0.3318 0.8201
```

Values from the calculation:
- Formation energy without anion corrections: -0.982 eV/atom
- Density of states at the Fermi level: 4.116 states/eV per cell
- Final energy: -6.060 eV/atom

---

(20)
A relaxed structure of Y4Bi2TeAs, computed with PBE-GGA.

Structure (CIF):
```
data_Y4Bi2TeAs
_space_group_name_H-M_alt 'P 1 2/m 1'
_space_group_IT_number 10
_space_group_name_Hall '-P 2y'
_cell_length_a 7.5620
_cell_length_b 4.3484
_cell_length_c 7.5627
_cell_angle_alpha 90.00
_cell_angle_beta 109.23
_cell_angle_gamma 90.00
loop_
_atom_site_label
_atom_site_type_symbol
_atom_site_fract_x
_atom_site_fract_y
_atom_site_fract_z
Y1 Y 0.2321 0.0000 0.2332
Y2 Y 0.2390 0.5000 0.7584
Bi1 Bi 0.0000 0.0000 0.5000
Bi2 Bi 0.5000 0.5000 0.5000
Te1 Te 0.5000 0.0000 0.0000
As1 As 0.0000 0.5000 0.0000
```

Values from the calculation:
- Formation energy without anion corrections: -1.173 eV/atom
- Density of states at the Fermi level: 1.768 states/eV per cell
- Final energy: -6.349 eV/atom